LaPm2Hg: optimized geometry, PBE.

Output
* crystal system: cubic
* magnetic moment: 1.8 μB/f.u.
* energy of formation from the pure elements: -0.0595 eV/atom
* symmetry: Fm-3m
* D(E_F): 1.409 states/eV/atom
* DFT total energy: -3.7421 eV/atom

Lattice parameters (Å, degrees): 5.5130 5.5130 5.5130 60.00 60.00 60.00
Fractional positions:
La1 0.0000 0.0000 0.0000
Pm1 0.2500 0.2500 0.2500
Pm2 0.7500 0.7500 0.7500
Hg1 0.5000 0.5000 0.5000

---

Pm3GdRh: optimized geometry, PBE.

Output
* crystal system: cubic
* magnetic moment: 8.4 μB/f.u.
* energy of formation from the pure elements: -0.1609 eV/atom
* symmetry: Pm-3m
* D(E_F): 1.822 states/eV/atom
* DFT total energy: -7.2977 eV/atom

Lattice parameters (Å, degrees): 5.5464 5.5464 5.5464 90.00 90.00 90.00
Fractional positions:
Pm1 0.0000 0.0000 0.5000
Pm2 0.0000 0.5000 0.0000
Pm3 0.5000 0.0000 0.0000
Gd1 0.5000 0.5000 0.5000
Rh1 0.0000 0.0000 0.0000

---

LiLa2TcPb: optimized geometry, PBE.

Output
* crystal system: tetragonal
* magnetic moment: 0.0 μB/f.u.
* energy of formation from the pure elements: 0.6463 eV/atom
* symmetry: P4/mmm
* D(E_F): 0.896 states/eV/atom
* DFT total energy: -4.5223 eV/atom

Lattice parameters (Å, degrees): 5.3619 5.3619 4.5771 90.00 90.00 90.00
Fractional positions:
Li1 0.0000 0.0000 0.0000
La1 0.0000 0.5000 0.0000
La2 0.5000 0.0000 0.0000
Tc1 0.5000 0.5000 0.5000
Pb1 0.0000 0.0000 0.5000

---

Ce3CrN6: optimized geometry, PBE.

Output
* crystal system: orthorhombic
* magnetic moment: 0.0 μB/f.u.
* symmetry: Cmc2_1
* formation energy without anion corrections: -1.18 eV/atom
* DFT total energy: -8.9209 eV/atom

Lattice parameters (Å, degrees): 7.3944 7.3944 5.4723 90.00 90.00 103.52
Fractional positions:
Ce1 0.1044 0.8956 0.5000
Ce2 0.1947 0.4075 0.5254
Ce3 0.4075 0.1947 0.0254
Ce4 0.5925 0.8053 0.5254
Ce5 0.8053 0.5925 0.0254
Ce6 0.8956 0.1044 0.0000
Cr1 0.3044 0.6956 0.0802
Cr2 0.6956 0.3044 0.5802
N1 0.0936 0.6120 0.2306
N2 0.1517 0.1680 0.2690
N3 0.1680 0.1517 0.7690
N4 0.2916 0.7084 0.7573
N5 0.3880 0.9064 0.2306
N6 0.4429 0.5571 0.1963
N7 0.5571 0.4429 0.6963
N8 0.6120 0.0936 0.7306
N9 0.7084 0.2916 0.2573
N10 0.8320 0.8483 0.2690
N11 0.8483 0.8320 0.7690
N12 0.9064 0.3880 0.7306

---

NaGa3Cl: optimized geometry, PBE.

Output
* crystal system: cubic
* magnetic moment: 0.0 μB/f.u.
* symmetry: Pm-3m
* formation energy without anion corrections: 0.12 eV/atom
* D(E_F): 0.437 states/eV/atom
* DFT total energy: -2.3335 eV/atom

Lattice parameters (Å, degrees): 5.4180 5.4180 5.4180 90.00 90.00 90.00
Fractional positions:
Na1 0.0000 0.0000 0.0000
Ga1 0.0000 0.5000 0.5000
Ga2 0.5000 0.0000 0.5000
Ga3 0.5000 0.5000 0.0000
Cl1 0.5000 0.5000 0.5000

---

Nd4SnAsS2: optimized geometry, PBE.

Output
* crystal system: monoclinic
* magnetic moment: 0.0 μB/f.u.
* symmetry: P2/m
* formation energy without anion corrections: -1.55 eV/atom
* D(E_F): 0.296 states/eV/atom
* DFT total energy: -6.0447 eV/atom

Lattice parameters (Å, degrees): 7.3368 4.2465 7.3945 90.00 109.55 90.00
Fractional positions:
Nd1 0.2370 0.0000 0.2379
Nd2 0.2444 0.5000 0.7548
Nd3 0.7556 0.5000 0.2452
Nd4 0.7630 0.0000 0.7621
Sn1 0.5000 0.5000 0.5000
As1 0.5000 0.0000 0.0000
S1 0.0000 0.0000 0.5000
S2 0.0000 0.5000 0.0000